First-principles (PBE-GGA) data for a relaxed structure of CaPr2Br, as listed in Alexandria.

a = 12.090 Å, b = 12.090 Å, c = 12.090 Å
α = 17.36°, β = 17.36°, γ = 17.36°
Element x y z (fractional)
Ca: 0.000 0.000 0.000
Pr: 0.099 0.099 0.099
Pr: 0.901 0.901 0.901
Br: 0.500 0.500 0.500

## Properties
V = 34.31 A^3/atom
space-group type = R-3m
formation energy without anion corrections = -0.393 eV per atom
crystal system = trigonal

First-principles (PBE-GGA) data for a relaxed structure of RbCaPrBr6, as listed in Alexandria.

a = 7.644 Å, b = 7.644 Å, c = 14.935 Å
α = 90.00°, β = 90.00°, γ = 120.00°
Element x y z (fractional)
Rb: 0.000 0.000 0.000
Rb: 0.000 0.000 0.500
Ca: 0.333 0.667 0.250
Ca: 0.667 0.333 0.750
Pr: 0.333 0.667 0.750
Pr: 0.667 0.333 0.250
Br: 0.001 0.375 0.138
Br: 0.001 0.627 0.362
Br: 0.373 0.375 0.362
Br: 0.373 0.999 0.138
Br: 0.375 0.001 0.638
Br: 0.375 0.373 0.862
Br: 0.625 0.627 0.138
Br: 0.625 0.999 0.362
Br: 0.627 0.001 0.862
Br: 0.627 0.625 0.638
Br: 0.999 0.373 0.638
Br: 0.999 0.625 0.862

## Properties
V = 41.99 A^3/atom
space-group type = P-31c
formation energy without anion corrections = -1.931 eV per atom
crystal system = trigonal

First-principles (PBE-GGA) data for a relaxed structure of CaPtBr6, as listed in Alexandria.

a = 7.289 Å, b = 7.289 Å, c = 7.289 Å
α = 54.90°, β = 54.90°, γ = 54.90°
Element x y z (fractional)
Ca: 0.000 0.000 0.000
Pt: 0.500 0.500 0.500
Br: 0.102 0.451 0.713
Br: 0.287 0.898 0.549
Br: 0.451 0.713 0.102
Br: 0.549 0.287 0.898
Br: 0.713 0.102 0.451
Br: 0.898 0.549 0.287

## Properties
V = 30.16 A^3/atom
space-group type = R-3
formation energy without anion corrections = -0.831 eV per atom
crystal system = trigonal

Which value of V does entry 3 give?
30.16 A^3/atom

What is the V in the third record?
30.16 A^3/atom